An optimized crystal structure of Be2FeF2, computed with GGA+U.

volume = 145.1 Å³ per cell
total magnetization = 6.138 μB per cell
offset from the most stable computed form = 0.0000 eV per atom
space-group type = No. 127

```
10
Lattice="7.5287 0.0000 0.0000 0.0000 7.5287 0.0000 0.0000 0.0000 2.5596" Properties=species:S:1:pos:R:3 pbc="T T T"
Be 1.4749 2.2894 0.0000
Be 2.2894 6.0537 0.0000
Be 5.2393 1.4749 0.0000
Be 6.0537 5.2393 0.0000
Fe 0.0000 0.0000 0.0000
Fe 3.7643 3.7643 0.0000
F 0.8702 2.8941 1.2798
F 2.8941 6.6585 1.2798
F 4.6345 0.8702 1.2798
F 6.6585 4.6345 1.2798
```